Compound: HfBrO3
Source: the Alexandria database
Functional: SCAN
Structure: PBEsol geometry

The value obtained for the formation energy (no corrections) is 334 meV per atom. The value obtained for the total energy is -99.157 eV per cell.

The space group is Pm-3m (No. 221) and the conventional cell measures 4.046, 4.046 and 4.046 Å, with angles of 90.00, 90.00 and 90.00 degrees. Symmetry generates all atoms from Hf at (0.000, 0.000, 0.000), Br at (0.500, 0.500, 0.500) and O at (0.000, 0.500, 0.500).

Compound: HfPBrO2
Source: the Alexandria database
Functional: SCAN
Structure: PBEsol geometry

The value obtained for the formation energy (no corrections) is -1430 meV per atom. The value obtained for the total energy is -112.143 eV per cell.

The space group is P4/mmm (No. 123) and the conventional cell measures 3.954, 3.954 and 5.650 Å, with angles of 90.00, 90.00 and 90.00 degrees. Symmetry generates all atoms from Hf at (0.000, 0.000, 0.000), P at (0.000, 0.000, 0.500), Br at (0.500, 0.500, 0.500) and O at (0.000, 0.500, 0.000).

Compound: HfPbBr2O
Source: the Alexandria database
Functional: SCAN
Structure: PBEsol geometry

The value obtained for the formation energy (no corrections) is 407 meV per atom. The value obtained for the total energy is -181.568 eV per cell.

The space group is P4/mmm (No. 123) and the conventional cell measures 4.656, 4.656 and 4.812 Å, with angles of 90.00, 90.00 and 90.00 degrees. Symmetry generates all atoms from Hf at (0.000, 0.000, 0.000), Pb at (0.500, 0.500, 0.000), Br at (0.000, 0.500, 0.500) and O at (0.500, 0.500, 0.500).

Compound: YHfOsBr2
Source: the Alexandria database
Functional: SCAN
Structure: PBEsol geometry

The value obtained for the formation energy (no corrections) is 1176 meV per atom. The value obtained for the total energy is -195.436 eV per cell.

The space group is P4/mmm (No. 123) and the conventional cell measures 5.022, 5.022 and 6.534 Å, with angles of 90.00, 90.00 and 90.00 degrees. Symmetry generates all atoms from Y at (0.000, 0.000, 0.000), Hf at (0.000, 0.000, 0.500), Os at (0.500, 0.500, 0.500) and Br at (0.000, 0.500, 0.000).

Compound: HfPSeBr2
Source: the Alexandria database
Functional: SCAN
Structure: PBEsol geometry

The value obtained for the formation energy (no corrections) is 630 meV per atom. The value obtained for the total energy is -128.918 eV per cell.

The space group is P4/mmm (No. 123) and the conventional cell measures 4.892, 4.892 and 4.852 Å, with angles of 90.00, 90.00 and 90.00 degrees. Symmetry generates all atoms from Hf at (0.000, 0.000, 0.000), P at (0.500, 0.500, 0.500), Se at (0.500, 0.500, 0.000) and Br at (0.000, 0.500, 0.500).

Compound: HfPbSe2Br
Source: the Alexandria database
Functional: SCAN
Structure: PBEsol geometry

The value obtained for the formation energy (no corrections) is 651 meV per atom. The value obtained for the total energy is -194.816 eV per cell.

The space group is P4/mmm (No. 123) and the conventional cell measures 5.337, 5.337 and 5.314 Å, with angles of 90.00, 90.00 and 90.00 degrees. Symmetry generates all atoms from Hf at (0.000, 0.000, 0.000), Pb at (0.500, 0.500, 0.500), Se at (0.000, 0.500, 0.500) and Br at (0.500, 0.500, 0.000).

Compound: HfPdSeBr2
Source: the Alexandria database
Functional: SCAN
Structure: PBEsol geometry

The value obtained for the formation energy (no corrections) is 306 meV per atom. The value obtained for the total energy is -152.917 eV per cell.

The space group is P4/mmm (No. 123) and the conventional cell measures 4.846, 4.846 and 5.019 Å, with angles of 90.00, 90.00 and 90.00 degrees. Symmetry generates all atoms from Hf at (0.000, 0.000, 0.000), Pd at (0.500, 0.500, 0.500), Se at (0.500, 0.500, 0.000) and Br at (0.000, 0.500, 0.500).

Compound: HfPtSe2Br
Source: the Alexandria database
Functional: SCAN
Structure: PBEsol geometry

The value obtained for the formation energy (no corrections) is 362 meV per atom. The value obtained for the total energy is -190.674 eV per cell.

The space group is P4/mmm (No. 123) and the conventional cell measures 4.896, 4.896 and 4.811 Å, with angles of 90.00, 90.00 and 90.00 degrees. Symmetry generates all atoms from Hf at (0.000, 0.000, 0.000), Pt at (0.500, 0.500, 0.500), Se at (0.000, 0.500, 0.500) and Br at (0.500, 0.500, 0.000).

Q: The highest formation energy (no corrections) belongs to which entry?
A: YHfOsBr2

Q: Which value of formation energy (no corrections) does entry 3 give?
A: 407 meV per atom